# ErNbBi

An optimized crystal structure of ErNbBi (GGA-PBE, OQMD).

Lattice parameters (Å, degrees): 6.8923 6.8923 6.8923 90.00 90.00 90.00
With the nearest neighbours (Å) after each atom.
Space group F-43m (No. 216)
Asymmetric unit:
Er 0.0000 0.0000 0.0000 (multiplicity 4)  4 Bi 2.98
Nb 0.0000 0.0000 0.5000 (multiplicity 4)  4 Bi 2.98
Bi 0.2500 0.2500 0.2500 (multiplicity 4)  4 Nb 2.98, 4 Er 2.98

## Properties
- DFT total energy (eV per atom) = -5.919
- total magnetization (Bohr magnetons per cell) = 0.35

---

# Zr2BeCd2Ni

An optimized crystal structure of Zr2BeCd2Ni (GGA-PBE, OQMD).

Lattice parameters (Å, degrees): 3.9536 3.3514 16.1692 90.00 90.00 90.00
With the nearest neighbours (Å) after each atom.
Space group Amm2 (No. 38)
Asymmetric unit:
Zr 0.0000 0.0000 0.0000 (multiplicity 2)  2 Ni 2.63, 4 Be 2.70
Zr 0.5000 0.0000 0.1727 (multiplicity 2)  2 Be 2.63, 4 Ni 2.70
Be 0.5000 0.0000 0.5475 (multiplicity 2)  2 Ni 2.34, 1 Cd 2.61
Cd 0.0000 0.0000 0.7934 (multiplicity 2)  1 Ni 2.72, 4 Cd 2.99
Cd 0.5000 0.0000 0.3860 (multiplicity 2)  1 Be 2.61
Ni 0.0000 0.0000 0.6252 (multiplicity 2)  2 Be 2.34

## Properties
- DFT total energy (eV per atom) = -4.965
- total magnetization (Bohr magnetons per cell) = 0.09

---

# AgIr2O4

An optimized crystal structure of AgIr2O4 (GGA-PBE, OQMD).

Lattice parameters (Å, degrees): 8.9508 8.9508 8.9508 90.00 90.00 90.00
With the nearest neighbours (Å) after each atom.
Space group Fd-3m (No. 227, origin choice 2)
Asymmetric unit:
Ag 0.1250 0.1250 0.1250 (multiplicity 8)  4 O 2.28
Ir 0.0000 0.0000 0.5000 (multiplicity 16)  6 O 2.06
O 0.0224 0.0224 0.7276 (multiplicity 32)  3 Ir 2.06, 1 Ag 2.28

## Properties
- DFT total energy (eV per atom) = -6.179
- total magnetization (Bohr magnetons per cell) = 8.00

---

# ReTcNiBi

An optimized crystal structure of ReTcNiBi (GGA-PBE, OQMD).

Lattice parameters (Å, degrees): 6.3722 6.3722 6.3722 90.00 90.00 90.00
With the nearest neighbours (Å) after each atom.
Space group F-43m (No. 216)
Asymmetric unit:
Re 0.0000 0.0000 0.0000 (multiplicity 4)  4 Tc 2.76, 4 Ni 2.76
Tc 0.2500 0.2500 0.2500 (multiplicity 4)  4 Bi 2.76, 4 Re 2.76
Ni 0.2500 0.2500 0.7500 (multiplicity 4)  4 Re 2.76, 4 Bi 2.76
Bi 0.0000 0.0000 0.5000 (multiplicity 4)  4 Ni 2.76, 4 Tc 2.76

## Properties
- DFT total energy (eV per atom) = -7.381
- total magnetization (Bohr magnetons per cell) = 1.02